A relaxed Ta2TiSn2 crystal, computed with PBE. Values from VASP.

Output
ρ	10.8	Mg/m³
ΔE_f	129	meV/atom
DFT total energy	-7.79	eV/atom
SG	No. 127

```
&SYSTEM
  ibrav = 0, nat = 10, ntyp = 3
/
ATOMIC_SPECIES
Ta 180.95 Ta.upf
Ti 47.87 Ti.upf
Sn 118.71 Sn.upf
ATOMIC_POSITIONS angstrom
Ta 1.157 2.471 0.000
Ta 2.471 6.100 0.000
Ta 4.786 1.157 0.000
Ta 6.100 4.786 0.000
Ti 0.000 0.000 1.882
Ti 3.629 3.629 1.882
Sn 1.032 4.660 1.882
Sn 2.597 1.032 1.882
Sn 4.660 6.226 1.882
Sn 6.226 2.597 1.882
CELL_PARAMETERS angstrom
7.257 0.000 0.000
0.000 7.257 0.000
0.000 0.000 3.763
```